BaInCo4O7 | GGA+U | optimized geometry

Geometry as POSCAR:
```
BaInCo4O7
1.0
3.146 -5.449 0.000
3.146 5.449 0.000
0.000 0.000 10.302
Co Ba O In
8 2 14 2
direct
0.830 0.659 0.187
0.170 0.341 0.687
0.830 0.170 0.187
0.659 0.830 0.687
0.341 0.170 0.187
0.170 0.830 0.687
0.000 0.000 0.439
0.000 0.000 0.939
0.333 0.667 0.998
0.667 0.333 0.498
0.499 0.997 0.253
0.664 0.832 0.499
0.168 0.832 0.499
0.832 0.168 0.999
0.000 0.000 0.748
0.336 0.168 0.999
0.000 0.000 0.248
0.501 0.003 0.753
0.003 0.501 0.253
0.168 0.336 0.499
0.832 0.664 0.999
0.499 0.501 0.253
0.501 0.499 0.753
0.997 0.499 0.753
0.333 0.667 0.376
0.667 0.333 0.876
```

Results
E   -5.96 eV per atom
Magnetization   10.97 μB/f.u.
Space group   P6_3mc

BaInCo2O | GGA+U | optimized geometry

Geometry as POSCAR:
```
BaInCo2O
1.0
-0.006 -6.031 -0.474
0.647 -0.352 4.470
-5.988 -0.062 0.861
Co Ba O In
2 1 1 1
direct
0.500 0.000 0.000
0.000 0.000 0.500
0.000 0.000 0.000
0.000 0.500 0.000
0.500 0.500 0.500
```

Results
E   -3.14 eV per atom
Magnetization   4.38 μB/f.u.
Space group   P4/mmm

BaInCoO3 | GGA+U | optimized geometry

Geometry as POSCAR:
```
BaInCoO3
1.0
-2.072 3.211 4.469
1.184 -3.133 4.833
5.340 2.905 2.852
O In Co Ba
6 2 2 2
direct
0.318 0.318 0.545
0.799 0.297 0.194
0.682 0.682 0.455
0.201 0.703 0.806
0.703 0.201 0.806
0.297 0.799 0.194
0.078 0.078 0.672
0.922 0.922 0.328
0.323 0.677 0.500
0.677 0.323 0.500
0.690 0.690 0.880
0.310 0.310 0.120
```

Results
E   -5.51 eV per atom
Magnetization   3.00 μB/f.u.
Space group   C2/m

Ba2InCo2O6 | GGA+U | optimized geometry

Geometry as POSCAR:
```
Ba2InCo2O6
1.0
-0.209 -0.504 5.990
1.692 -5.129 2.647
5.685 0.010 3.219
O Co Ba In
6 2 2 1
direct
0.237 0.755 0.254
0.245 0.763 0.746
0.755 0.755 0.254
0.245 0.245 0.746
0.763 0.245 0.746
0.755 0.237 0.254
0.434 0.434 0.699
0.566 0.566 0.301
0.778 0.778 0.667
0.222 0.222 0.333
0.000 0.000 0.000
```

Results
E   -5.86 eV per atom
Magnetization   7.00 μB/f.u.
Space group   R-3m

> The highest magnetization belongs to which entry?

BaInCo4O7

> What is the E in the third record?

-5.51 eV per atom

> Look up the E of the fourth one.

-5.86 eV per atom